A geometry-optimized HfGa2Pt2 structure. Source: Alexandria via LeMat-Bulk, functional PBE.

The structure in POSCAR format:
```
HfGa2Pt2
1.0
4.403 0.000 0.000
0.000 4.383 0.000
-0.001 0.000 9.460
Hf Ga Pt
2 4 4
Cartesian
1.097 1.096 2.966 Hf
3.304 3.288 6.494 Hf
1.102 1.096 6.462 Ga
1.102 1.096 9.370 Ga
3.299 3.288 0.090 Ga
3.300 3.288 2.998 Ga
1.097 3.288 1.431 Pt
1.102 3.288 4.994 Pt
3.299 1.096 4.466 Pt
3.304 1.096 8.029 Pt
```

Values from the calculation:
- raw total energy (eV per atom) = -6.415
- space-group type = P2_1/m
- spin magnetization (μB/f.u.) = 0.00
- ΔE_f (meV/atom) = -798
- density of states at the Fermi level (states/eV per atom) = 0.400

A geometry-optimized Hf2GaPt structure. Source: Alexandria via LeMat-Bulk, functional PBE.

The structure in POSCAR format:
```
Hf2GaPt
1.0
4.340 0.000 0.000
-2.170 3.758 0.000
0.000 0.000 14.996
Hf Ga Pt
6 3 3
Cartesian
0.000 0.000 0.000 Hf
0.000 0.000 3.041 Hf
0.000 2.506 9.997 Hf
0.000 2.506 13.039 Hf
2.170 1.253 4.999 Hf
2.170 1.253 8.040 Hf
0.000 0.000 6.212 Ga
0.000 2.506 1.214 Ga
2.170 1.253 11.211 Ga
0.000 0.000 12.101 Pt
0.000 2.506 7.102 Pt
2.170 1.253 2.103 Pt
```

Values from the calculation:
- raw total energy (eV per atom) = -7.735
- space-group type = R3m
- spin magnetization (μB/f.u.) = 0.00
- ΔE_f (meV/atom) = -492
- density of states at the Fermi level (states/eV per atom) = 0.760

A geometry-optimized HfGaPt structure. Source: Alexandria via LeMat-Bulk, functional PBE.

The structure in POSCAR format:
```
HfGaPt
1.0
3.591 0.000 0.000
-1.796 3.110 0.000
0.000 0.000 15.854
Hf Ga Pt
3 3 3
Cartesian
0.000 0.000 0.000 Hf
0.000 2.073 10.569 Hf
1.796 1.037 5.285 Hf
0.000 0.000 12.616 Ga
0.000 2.073 7.331 Ga
1.796 1.037 2.046 Ga
0.000 0.000 8.848 Pt
0.000 2.073 3.563 Pt
1.796 1.037 14.132 Pt
```

Values from the calculation:
- raw total energy (eV per atom) = -6.812
- space-group type = R3m
- spin magnetization (μB/f.u.) = 0.00
- ΔE_f (meV/atom) = -472
- density of states at the Fermi level (states/eV per atom) = 0.582